(1)
WAu: relaxed, PBE-GGA.

Cell and atoms, written as CIF:
```
data_WAu
_chemical_formula_sum 'W4 Au4'
_space_group_name_H-M_alt 'P 42/m n m'
_space_group_IT_number 136
_space_group_name_Hall '-P 4n 2n'
_cell_length_a 8.687
_cell_length_b 8.687
_cell_length_c 2.645
_cell_angle_alpha 90.00
_cell_angle_beta 90.00
_cell_angle_gamma 90.00
loop_
_atom_site_label
_atom_site_fract_x
_atom_site_fract_y
_atom_site_fract_z
_atom_site_occupancy
W1 0.101 0.101 0.000 1
Au1 0.200 0.800 0.000 1
```

The value obtained for the energy above the most stable polymorph in this dataset is 881.0 meV per atom. For the volume, the calculation gives 199.60 Å³ per cell.



(2)
CaNiN: relaxed, PBE-GGA.

Cell and atoms, written as CIF:
```
data_CaNiN
_chemical_formula_sum 'Ca1 Ni1 N1'
_space_group_name_H-M_alt 'P 4/m m m'
_space_group_IT_number 123
_space_group_name_Hall '-P 4 2'
_cell_length_a 3.578
_cell_length_b 3.578
_cell_length_c 3.536
_cell_angle_alpha 90.00
_cell_angle_beta 90.00
_cell_angle_gamma 90.00
loop_
_atom_site_label
_atom_site_fract_x
_atom_site_fract_y
_atom_site_fract_z
_atom_site_occupancy
Ca1 0.000 0.000 0.000 1
Ni1 0.500 0.500 0.500 1
N1 0.500 0.500 0.000 1
```

The value obtained for the energy above the most stable polymorph in this dataset is 36.5 meV per atom. The raw formation energy comes out at -646 meV per atom. For the volume, the calculation gives 45.26 Å³ per cell.